The following is a DFT calculation (PBE) of crystalline CaPm4Dy2 at its relaxed geometry.

Cell and atoms, written as POSCAR:
```
CaPm4Dy2
1.0
3.618 0.000 0.313
1.795 3.141 0.313
-0.006 -0.004 21.121
Ca Dy Pm
1 2 4
direct
0.000 0.000 0.000
0.570 0.570 0.289
0.430 0.430 0.711
0.857 0.857 0.429
0.718 0.718 0.846
0.282 0.282 0.154
0.143 0.143 0.571
```

Values from the calculation:
For the energy of formation from the pure elements, the calculation gives 28.0 meV per atom. As for the calculated volume: 34.29 Å³ per atom. For the density of states at the Fermi level, the calculation gives 9.24 states/eV/f.u. Its spin magnetization is 0.0 μB per formula unit.

***

The following is a DFT calculation (PBE) of crystalline Ru4Rh3 at its relaxed geometry.

Cell and atoms, written as POSCAR:
```
Ru4Rh3
1.0
-2.231 3.471 -1.275
-0.639 -2.845 -6.629
-5.022 -1.380 5.032
Ru Rh
8 6
direct
0.250 0.480 0.096
0.750 0.520 0.904
0.250 0.333 0.667
0.750 0.096 0.616
0.250 0.616 0.520
0.750 0.384 0.480
0.250 0.904 0.384
0.750 0.667 0.333
0.750 0.241 0.045
0.250 0.759 0.955
0.250 0.045 0.804
0.750 0.804 0.759
0.250 0.196 0.241
0.750 0.955 0.196
```

Values from the calculation:
For the energy of formation from the pure elements, the calculation gives 3.5 meV per atom. As for the calculated volume: 14.01 Å³ per atom. For the density of states at the Fermi level, the calculation gives 5.64 states/eV/f.u. Its spin magnetization is 0.0 μB per formula unit. For the energy above the most stable polymorph in this dataset, the calculation gives 0 meV per atom.

***

no.,E (eV/atom),density (g/cm³)
1,-4.287,6.539
2,-8.448,12.072